# 1
Density functional theory data (GGA-PBE) for a relaxed structure of Y2Tc3Ge5.

N(E_F)   7.053 states/eV/f.u.
Crystal system   orthorhombic

Geometry as CIF:
```
data_Y2Tc3Ge5
_cell_length_a 9.8743
_cell_length_b 12.8760
_cell_length_c 5.7485
_cell_angle_alpha 90.00
_cell_angle_beta 90.00
_cell_angle_gamma 90.00
_symmetry_space_group_name_H-M 'I b a m'
_symmetry_Int_Tables_number 72
_symmetry_space_group_name_Hall '-I 2 2c'
loop_
_atom_site_label
_atom_site_type_symbol
_atom_site_fract_x
_atom_site_fract_y
_atom_site_fract_z
_atom_site_occupancy
Y1 Y 0.2385 0.1389 0.0000 1
Tc1 Tc 0.0000 0.5000 0.2500 1
Tc2 Tc 0.0823 0.1507 0.5000 1
Ge1 Ge 0.0000 0.0000 0.2500 1
Ge2 Ge 0.0000 0.2956 0.2500 1
Ge3 Ge 0.1861 0.4121 0.0000 1
```



# 2
Density functional theory data (GGA-PBE) for a relaxed structure of Nd5Er4Sc2.

N(E_F)   18.870 states/eV/f.u.
Energy above the lowest structure with this stoichiometry   144 meV/atom
Crystal system   orthorhombic

Geometry as CIF:
```
data_Nd5Er4Sc2
_cell_length_a 3.4760
_cell_length_b 9.1384
_cell_length_c 22.9541
_cell_angle_alpha 90.00
_cell_angle_beta 90.00
_cell_angle_gamma 90.00
_symmetry_space_group_name_H-M 'I m m m'
_symmetry_Int_Tables_number 71
_symmetry_space_group_name_Hall '-I 2 2'
loop_
_atom_site_label
_atom_site_type_symbol
_atom_site_fract_x
_atom_site_fract_y
_atom_site_fract_z
_atom_site_occupancy
Nd1 Nd 0.0000 0.0000 0.0000 1
Nd2 Nd 0.0000 0.2959 0.3485 1
Er1 Er 0.0000 0.1864 0.5000 1
Er2 Er 0.0000 0.5000 0.0987 1
Sc1 Sc 0.0000 0.5000 0.2299 1
```



# 3
Density functional theory data (GGA-PBE) for a relaxed structure of Be2CoRe.

N(E_F)   6.907 states/eV/f.u.
Energy above the lowest structure with this stoichiometry   222 meV/atom
Crystal system   cubic

Geometry as CIF:
```
data_Be2CoRe
_cell_length_a 5.4622
_cell_length_b 5.4622
_cell_length_c 5.4622
_cell_angle_alpha 90.00
_cell_angle_beta 90.00
_cell_angle_gamma 90.00
_symmetry_space_group_name_H-M 'F m -3 m'
_symmetry_Int_Tables_number 225
_symmetry_space_group_name_Hall '-F 4 2 3'
loop_
_atom_site_label
_atom_site_type_symbol
_atom_site_fract_x
_atom_site_fract_y
_atom_site_fract_z
_atom_site_occupancy
Be1 Be 0.2500 0.2500 0.2500 1
Co1 Co 0.0000 0.0000 0.0000 1
Re1 Re 0.0000 0.0000 0.5000 1
```



no.,DFT formation energy (meV per atom)
1,-496
2,225
3,60